Density functional theory data (GGA-PBE) for a relaxed Pm4Er9Tl11 crystal.

Cell: 3.562 14.109 14.109 Å, 109.82 90.00 90.00°
Atoms (fractional coordinates):
Pm  0.500  0.588  0.750
Pm  0.500  0.412  0.250
Pm  0.500  0.750  0.588
Pm  0.500  0.250  0.412
Er  0.500  0.613  0.161
Er  0.500  0.387  0.839
Er  0.500  0.161  0.613
Er  0.500  0.839  0.387
Er  0.500  0.797  0.988
Er  0.500  0.203  0.012
Er  0.500  0.988  0.797
Er  0.500  0.012  0.203
Er  0.500  0.500  0.500
Tl  0.000  0.591  0.955
Tl  0.000  0.409  0.045
Tl  0.000  0.955  0.591
Tl  0.000  0.045  0.409
Tl  0.000  0.624  0.376
Tl  0.000  0.376  0.624
Tl  0.000  0.812  0.188
Tl  0.000  0.188  0.812
Tl  0.000  0.000  0.000
Tl  0.000  0.796  0.796
Tl  0.000  0.204  0.204

Calculated values
* energy of formation from the pure elements: -6.1 eV per formula unit
* size of the total moment: 0.01 μB per cell
* total energy: -3.8425 eV/atom